Record 1
5
Lattice="-4.0924 -2.1431 -1.2512 1.5285 -0.2757 -4.5270 1.8695 -4.0836 0.8799" Properties=species:S:1:pos:R:3 comment="GaTeP2S | Alexandria via LeMat-Bulk | PBE-GGA | optimized geometry" mass_density_g_cm3=4.61 relative_energy_mev_per_atom=0 formation_energy_uncorrected_mev_per_atom=694 pbc="T T T"
P 0.7642 -0.1379 -2.2635
P -2.0462 -1.0715 -0.6256
Te -0.3472 -3.2512 -2.4491
Ga 0.0000 0.0000 0.0000
S 0.9347 -2.0418 0.4400

Record 2
5
Lattice="-1.5080 4.7119 -1.2360 -3.7907 -1.9477 -2.8001 -3.0917 0.0917 4.1216" Properties=species:S:1:pos:R:3 comment="GaTeP2S | Alexandria via LeMat-Bulk | PBE-GGA | optimized geometry" mass_density_g_cm3=3.61 relative_energy_mev_per_atom=254 formation_energy_uncorrected_mev_per_atom=948 pbc="T T T"
Ga -4.1952 1.4279 0.0427
Te 0.0000 0.0000 0.0000
P -1.8953 -0.9738 -1.4001
P -0.7540 2.3559 -0.6180
S -1.5459 0.0458 2.0608

Record 3
12
Lattice="4.1735 0.0000 0.0000 0.0000 8.1658 0.3555 -2.0868 -2.2892 8.6703" Properties=species:S:1:pos:R:3 comment="Th6GaP2S3 | Alexandria via LeMat-Bulk | PBE-GGA | optimized geometry" mass_density_g_cm3=9.00 formation_energy_uncorrected_mev_per_atom=-1495 pbc="T T T"
Th 0.0000 5.9472 6.0657
Th 0.0000 1.9008 5.9240
Th 0.0000 2.0889 0.1272
Th 2.0868 3.9758 3.1017
Th 2.0868 3.7878 8.8985
Th 2.0868 -0.0706 2.9600
S 2.0868 -0.1569 5.8748
S 2.0868 4.0829 0.1777
S 0.0000 6.0335 3.1510
P 0.0000 1.9574 3.0348
P 2.0868 3.9192 5.9909
Ga 2.0868 0.0000 0.0000

Record 4
8
Lattice="4.1757 0.0000 0.0000 0.0000 7.2428 -0.1552 0.0000 2.5375 6.7191" Properties=species:S:1:pos:R:3 comment="Th4GaP2S | Alexandria via LeMat-Bulk | PBE-GGA | optimized geometry" mass_density_g_cm3=8.85 formation_energy_uncorrected_mev_per_atom=-1316 pbc="T T T"
S 2.0879 3.6214 -0.0776
Th 2.0879 6.1170 1.5181
Th 2.0879 3.6633 5.0458
Th 0.0001 7.3873 4.9200
Th 4.1757 2.3929 1.6439
Ga 0.0000 4.8901 3.2820
P 2.0879 1.2687 3.3596
P 0.0000 2.5375 6.7191

Record 5
12
Lattice="3.8871 0.0000 0.0000 0.0000 7.9351 0.2938 -1.9435 -2.2790 8.2840" Properties=species:S:1:pos:R:3 comment="Tm6GaP2S3 | Alexandria via LeMat-Bulk | PBE-GGA | optimized geometry" mass_density_g_cm3=7.99 formation_energy_uncorrected_mev_per_atom=-1621 pbc="T T T"
Tm 0.0000 1.8428 5.5938
Tm 1.9435 3.6378 8.4858
Tm 1.9435 3.8133 2.9840
Tm 0.0000 2.0183 0.0920
Tm 0.0000 5.7130 5.7926
Tm 1.9435 -0.0569 2.7852
S 0.0000 5.8283 3.0428
S 1.9435 3.9676 0.1469
S 1.9435 -0.1722 5.5349
Ga 1.9435 0.0000 0.0000
P 1.9435 3.7592 5.7101
P 0.0000 1.8969 2.8677

Record 6
8
Lattice="-0.2898 3.8613 0.0101 -5.9789 -0.4575 3.3877 1.2706 0.0777 6.7607" Properties=species:S:1:pos:R:3 comment="Tm4GaPS2 | Alexandria via LeMat-Bulk | PBE-GGA | optimized geometry" mass_density_g_cm3=8.04 formation_energy_uncorrected_mev_per_atom=-1504 pbc="T T T"
Ga -2.3541 -0.1899 5.0742
S 1.2705 0.0777 6.7607
S 0.4904 1.9695 3.3854
Tm -1.5099 3.7631 2.5394
Tm -3.4883 -0.2816 7.6191
Tm -0.6632 1.8762 5.9529
Tm -4.3349 1.6053 4.2056
P -1.8638 1.7796 8.4596

Record 7
5
Lattice="4.6291 0.0000 0.0000 0.0000 4.6291 0.0000 0.0000 0.0000 4.5179" Properties=species:S:1:pos:R:3 comment="VGaP2S | Alexandria via LeMat-Bulk | PBE-GGA | optimized geometry" mass_density_g_cm3=3.68 relative_energy_mev_per_atom=0 formation_energy_uncorrected_mev_per_atom=134 pbc="T T T"
Ga 2.3146 2.3146 2.2589
P 2.3146 0.0000 0.0000
P 0.0000 2.3146 0.0000
S 0.0000 0.0000 2.2589
V 0.0000 0.0000 0.0000

Record 8
5
Lattice="-1.1211 3.4410 -2.8014 -3.4382 -2.5002 -1.6950 -2.8812 1.7354 3.2846" Properties=species:S:1:pos:R:3 comment="VGaP2S | Alexandria via LeMat-Bulk | PBE-GGA | optimized geometry" mass_density_g_cm3=3.62 relative_energy_mev_per_atom=941 formation_energy_uncorrected_mev_per_atom=1076 pbc="T T T"
Ga 0.0000 0.0000 0.0000
P -1.7191 -1.2501 -0.8475
P -0.5606 1.7205 -1.4007
S -1.4406 0.8677 1.6423
V -3.7202 1.3381 -0.6059

Record 9
5
Lattice="-3.9032 1.5724 -1.8232 -1.0823 -4.2481 -1.3467 -2.1474 -0.7148 3.9807" Properties=species:S:1:pos:R:3 comment="GaPWS2 | Alexandria via LeMat-Bulk | PBE-GGA | optimized geometry" mass_density_g_cm3=6.01 relative_energy_mev_per_atom=1084 formation_energy_uncorrected_mev_per_atom=1223 pbc="T T T"
P -1.0737 -0.3574 1.9904
S -1.9516 0.7862 -0.9116
S -0.5412 -2.1240 -0.6733
Ga 0.0000 0.0000 0.0000
W -3.5665 -1.6952 0.4054

Record 10
5
Lattice="-3.9721 1.0743 -1.8272 0.6378 -3.0953 -3.2066 -2.0434 -3.1215 2.6067" Properties=species:S:1:pos:R:3 comment="GaP2WS | Alexandria via LeMat-Bulk | PBE-GGA | optimized geometry" mass_density_g_cm3=6.26 relative_energy_mev_per_atom=1157 formation_energy_uncorrected_mev_per_atom=1475 pbc="T T T"
P -1.9861 0.5372 -0.9136
P 0.3189 -1.5477 -1.6033
Ga 0.0000 0.0000 0.0000
W -2.6888 -2.5713 -1.2135
S -1.0217 -1.5608 1.3034

Record 11
5
Lattice="-4.1274 1.7002 1.6407 -0.9570 -4.2224 1.9681 2.1472 1.3696 3.9824" Properties=species:S:1:pos:R:3 comment="GaP2WS | Alexandria via LeMat-Bulk | PBE-GGA | optimized geometry" mass_density_g_cm3=5.40 relative_energy_mev_per_atom=0 formation_energy_uncorrected_mev_per_atom=319 pbc="T T T"
W 0.0000 0.0000 0.0000
P -0.4785 -2.1112 0.9840
P -2.0637 0.8501 0.8203
Ga -1.4686 -0.5763 3.7956
S 1.0736 0.6848 1.9912

Record 12
5
Lattice="-4.4010 -0.3860 -1.6965 1.7330 -0.5627 -4.3676 0.1557 -4.7180 0.6696" Properties=species:S:1:pos:R:3 comment="GaPWS2 | Alexandria via LeMat-Bulk | PBE-GGA | optimized geometry" mass_density_g_cm3=5.42 relative_energy_mev_per_atom=0 formation_energy_uncorrected_mev_per_atom=139 pbc="T T T"
S 0.8665 -0.2813 -2.1838
S -2.2005 -0.1930 -0.8482
P 0.0779 -2.3590 0.3348
Ga -1.2561 -2.8334 -2.6972
W 0.0000 0.0000 0.0000

Record 13
8
Lattice="3.9448 0.0000 0.0000 0.0000 7.0053 -0.1803 0.0000 2.4267 6.5555" Properties=species:S:1:pos:R:3 comment="Y4GaPS2 | Alexandria via LeMat-Bulk | PBE-GGA | optimized geometry" mass_density_g_cm3=4.73 formation_energy_uncorrected_mev_per_atom=-1557 pbc="T T T"
P 0.0000 4.7160 3.1877
Y 0.0001 7.0849 4.7361
Y 3.9448 2.3470 1.6392
Y 1.9724 3.5987 4.8385
Y 1.9724 5.8333 1.5368
S 0.0000 2.4267 6.5555
S 1.9724 1.2134 3.2778
Ga 1.9724 3.5026 -0.0901

Record 14
5
Lattice="5.2619 0.0000 0.0000 0.0000 5.2619 0.0000 0.0000 0.0000 5.4322" Properties=species:S:1:pos:R:3 comment="YGaPS2 | Alexandria via LeMat-Bulk | PBE-GGA | optimized geometry" mass_density_g_cm3=2.80 relative_energy_mev_per_atom=284 formation_energy_uncorrected_mev_per_atom=-109 pbc="T T T"
S 2.6309 0.0000 0.0000
S 0.0000 2.6309 0.0000
Ga 2.6309 2.6309 2.7161
Y 0.0000 0.0000 0.0000
P 0.0000 0.0000 2.7161

Record 15
5
Lattice="-4.3140 -1.8721 -0.5504 1.9244 -4.3028 -0.4484 -0.3169 -0.6205 4.5944" Properties=species:S:1:pos:R:3 comment="YGaPS2 | Alexandria via LeMat-Bulk | PBE-GGA | optimized geometry" mass_density_g_cm3=4.04 relative_energy_mev_per_atom=0 formation_energy_uncorrected_mev_per_atom=-394 pbc="T T T"
Y -1.3532 -3.3977 1.7978
S -2.1570 -0.9360 -0.2752
S 0.9622 -2.1514 -0.2242
Ga 0.0000 0.0000 0.0000
P -0.1584 -0.3103 2.2972

Record 16
12
Lattice="-2.1391 1.1867 -3.1111 -6.7875 -1.9111 3.9379 2.4324 7.7454 3.7993" Properties=species:S:1:pos:R:3 comment="Y6GaP2S3 | Alexandria via LeMat-Bulk | PBE-GGA | optimized geometry" mass_density_g_cm3=4.65 formation_energy_uncorrected_mev_per_atom=-1669 pbc="T T T"
P -1.8163 2.1481 2.0682
P -4.6779 4.8730 2.5579
Y -1.2151 3.2107 -0.4571
Y -4.5299 2.3184 1.4818
Y -1.7358 -0.4735 1.0129
Y -4.7584 7.4945 3.6132
Y -1.9643 4.7026 3.1443
Y -5.2791 3.8103 5.0832
Ga -1.0695 0.5933 -1.5555
S -5.1846 1.2194 4.0299
S -1.3096 5.8016 0.5962
S -4.4633 -0.3622 0.4134

Record 17
10
Lattice="-1.4515 3.4928 6.6489 -3.3000 -6.3798 2.6310 3.5808 -1.2574 1.4423" Properties=species:S:1:pos:R:3 comment="Ga2Sb2P | Alexandria via LeMat-Bulk | PBE-GGA | optimized geometry" mass_density_g_cm3=5.79 relative_energy_mev_per_atom=0 formation_energy_uncorrected_mev_per_atom=266 pbc="T T T"
P 0.0000 0.0000 0.0000
P -2.3758 -1.4435 4.6399
Sb -1.6446 1.1882 5.1188
Sb -3.4590 -1.6061 7.1875
Sb -1.2926 -1.2809 2.0924
Sb -3.1070 -4.0752 4.1610
Ga 0.8376 -0.0949 3.5521
Ga -0.4432 -4.1732 3.1764
Ga -2.0084 -4.0495 7.1701
Ga -0.7276 0.0288 7.5458

Record 18
6
Lattice="3.6415 0.0000 0.0000 0.0000 5.6164 0.0000 -1.8208 0.0000 7.4310" Properties=species:S:1:pos:R:3 comment="GaSbP | Alexandria via LeMat-Bulk | PBE-GGA | optimized geometry" mass_density_g_cm3=4.86 formation_energy_uncorrected_mev_per_atom=86 pbc="T T T"
P 1.8208 0.3985 6.2259
P 0.0000 3.2067 1.2051
Ga 1.8208 3.6224 6.2485
Ga 0.0000 0.8142 1.1825
Sb 1.8208 4.6341 2.4587
Sb 0.0000 1.8259 4.9723

Record 19
5
Lattice="-2.8986 -4.3659 -0.1458 2.9578 -2.0903 3.7903 -3.2146 2.0134 3.6190" Properties=species:S:1:pos:R:3 comment="GaSb3P | Alexandria via LeMat-Bulk | PBE-GGA | optimized geometry" mass_density_g_cm3=5.37 relative_energy_mev_per_atom=396 formation_energy_uncorrected_mev_per_atom=952 pbc="T T T"
Sb 1.4789 -1.0452 1.8951
Sb -1.6073 1.0067 1.8095
Sb -1.4493 -2.1829 -0.0729
P -1.5777 -2.2214 3.6317
Ga 0.0000 0.0000 0.0000

Record 20
5
Lattice="3.7048 0.0000 0.0000 0.0000 3.7048 0.0000 1.8524 1.8524 8.1970" Properties=species:S:1:pos:R:3 comment="Ga2Sb2P | Alexandria via LeMat-Bulk | PBE-GGA | optimized geometry" mass_density_g_cm3=6.11 relative_energy_mev_per_atom=16 formation_energy_uncorrected_mev_per_atom=281 pbc="T T T"
Sb 3.7048 3.7048 6.6887
Sb 1.8524 1.8524 1.5082
Ga 1.8524 3.7048 4.0985
Ga 3.7048 1.8524 4.0985
P 0.0000 0.0000 0.0000

Record 21
5
Lattice="4.7070 0.0000 0.0000 0.0000 4.7070 0.0000 0.0000 0.0000 4.7070" Properties=species:S:1:pos:R:3 comment="GaSbP3 | Alexandria via LeMat-Bulk | PBE-GGA | optimized geometry" mass_density_g_cm3=4.53 relative_energy_mev_per_atom=0 formation_energy_uncorrected_mev_per_atom=805 pbc="T T T"
Sb 2.3535 2.3535 2.3535
P 0.0000 0.0000 2.3535
P 2.3535 0.0000 0.0000
P 0.0000 2.3535 0.0000
Ga 0.0000 0.0000 0.0000

Record 22
5
Lattice="5.2536 0.0000 0.0000 0.0000 5.2536 0.0000 0.0000 0.0000 5.2536" Properties=species:S:1:pos:R:3 comment="GaSb3P | Alexandria via LeMat-Bulk | PBE-GGA | optimized geometry" mass_density_g_cm3=5.34 relative_energy_mev_per_atom=0 formation_energy_uncorrected_mev_per_atom=555 pbc="T T T"
Sb 2.6268 0.0000 0.0000
Sb 0.0000 0.0000 2.6268
Sb 0.0000 2.6268 0.0000
P 0.0000 0.0000 0.0000
Ga 2.6268 2.6268 2.6268

Record 23
4
Lattice="0.0000 3.5223 3.5223 3.5223 0.0000 3.5223 3.5223 3.5223 0.0000" Properties=species:S:1:pos:R:3 comment="GaSb2P | Alexandria via LeMat-Bulk | PBE-GGA | optimized geometry" mass_density_g_cm3=6.54 relative_energy_mev_per_atom=115 formation_energy_uncorrected_mev_per_atom=353 pbc="T T T"
P 0.0000 0.0000 0.0000
Sb 1.7612 1.7612 1.7612
Sb 5.2835 5.2835 5.2835
Ga 3.5223 3.5223 3.5223

Record 24
8
Lattice="-2.3352 -3.5782 -4.5570 3.2235 -4.8850 2.1839 -3.4914 -5.4865 1.8155" Properties=species:S:1:pos:R:3 comment="GaSbP2 | Alexandria via LeMat-Bulk | PBE-GGA | optimized geometry" mass_density_g_cm3=4.22 formation_energy_uncorrected_mev_per_atom=135 pbc="T T T"
P -1.9880 -11.2979 -0.8143
P -2.1388 -7.5108 0.5710
P 0.7437 -5.0348 1.0418
P -1.8232 -4.0558 -1.9140
Sb -2.6913 -6.6481 -1.9641
Sb 0.0000 0.0000 0.0000
Ga 0.4441 -4.2316 -1.1866
Ga 0.0881 -7.3015 1.4064

Record 25
8
Lattice="-1.9637 -5.4383 -1.2031 5.5513 -1.8072 -0.8920 2.3248 -5.2952 5.6455" Properties=species:S:1:pos:R:3 comment="GaSb2P | Alexandria via LeMat-Bulk | PBE-GGA | optimized geometry" mass_density_g_cm3=4.74 relative_energy_mev_per_atom=0 formation_energy_uncorrected_mev_per_atom=237 pbc="T T T"
P 4.8350 -5.3626 1.8529
P 1.7938 -3.6227 -1.0476
Sb 0.0688 -4.8905 0.5608
Sb 4.8234 -10.2919 2.4104
Sb 3.7843 -3.1912 0.6906
Sb 3.1483 -6.7078 3.4389
Ga 0.0000 0.0000 0.0000
Ga 1.0774 -7.1781 1.6974

Record 26
5
Lattice="5.1923 0.0000 0.0000 0.0000 5.1284 0.0000 0.0000 0.0000 5.1923" Properties=species:S:1:pos:R:3 comment="GaSi2SbP | Alexandria via LeMat-Bulk | PBE-GGA | optimized geometry" mass_density_g_cm3=3.35 formation_energy_uncorrected_mev_per_atom=1210 pbc="T T T"
Sb 0.0000 0.0000 0.0000
P 0.0000 2.5642 0.0000
Ga 2.5962 2.5642 2.5962
Si 2.5962 0.0000 0.0000
Si 0.0000 0.0000 2.5962